No. 1
VASP calculation (GGA-PBE) on an optimized crystal structure of Cd2AsPb.

Values from the calculation:
Size of the total moment = 0.0 μB/f.u.

a = 6.8642 Å, b = 6.8642 Å, c = 6.8642 Å
α = 146.84°, β = 143.81°, γ = 49.90°
With the nearest neighbours (Å) after each atom.
Atoms (fractional coordinates):
Cd  0.0615  0.0615  0.0000  2 Cd 3.08, 2 As 3.10, 4 Pb 3.24
As  0.2542  0.7542  0.5000  6 Cd 2.90-3.10, 2 Pb 3.07
Cd  0.7400  0.2400  0.5000  4 As 2.90, 2 Cd 3.08
Pb  0.4443  0.4443  0.0000  2 As 3.07, 6 Cd 3.24-3.32

=====

No. 2
VASP calculation (GGA-PBE) on an optimized crystal structure of Cd2AsPb.

Values from the calculation:
Size of the total moment = 0.0 μB/f.u.

a = 4.4199 Å, b = 4.5324 Å, c = 4.9400 Å
α = 90.00°, β = 90.00°, γ = 90.00°
With the nearest neighbours (Å) after each atom.
Atoms (fractional coordinates):
As  0.0000  0.5000  0.5000  4 Pb 3.17, 8 Cd 3.31-3.35
Cd  0.0000  0.0000  0.0000  4 Cd 3.17, 4 Pb 3.31, 4 As 3.35
Pb  0.5000  0.0000  0.5000  4 As 3.17, 8 Cd 3.31-3.35
Cd  0.5000  0.5000  0.0000  4 Cd 3.17, 4 As 3.31, 4 Pb 3.35

=====

no.,ΔE_f (meV per atom)
1,74
2,116